AcTlV2O8 | the Alexandria database | PBE+U | relaxed; volume = 17.40 Å³/atom; N(E_F) = 0.000 states/eV per atom; raw total energy = -84.16 eV/cell
1.0
5.955 0.000 0.000
-2.977 5.157 0.000
0.000 0.000 6.801
V O Ac Tl
2 8 1 1
Direct
0.667 0.333 0.151
0.333 0.667 0.849
0.335 0.168 0.233
0.168 0.335 0.767
0.168 0.832 0.767
0.667 0.333 0.911
0.333 0.667 0.089
0.832 0.168 0.233
0.832 0.665 0.233
0.665 0.832 0.767
0.000 0.000 0.500
0.000 0.000 0.000